# NaPmTlO3

An optimized crystal structure of NaPmTlO3 (GGA-PBE, Alexandria).

Summary:
Its raw total energy is -5.7286 eV per atom. Its space group is P2_1/m. For the uncorrected formation energy, the calculation gives -1.84 eV/atom. The magnetic moment is 0.00 μB/f.u.

Lattice parameters (Å, degrees): 3.554 6.748 9.059 86.83 90.00 90.00
Fractional positions:
1 Na 0.250 0.105 0.118
2 Na 0.750 0.895 0.882
3 Pm 0.250 0.597 0.152
4 Pm 0.750 0.403 0.848
5 Tl 0.250 0.162 0.578
6 Tl 0.750 0.838 0.422
7 O 0.750 0.845 0.157
8 O 0.250 0.155 0.843
9 O 0.250 0.650 0.410
10 O 0.750 0.350 0.590
11 O 0.750 0.378 0.110
12 O 0.250 0.622 0.890